A relaxed Zn4In5 crystal. Source: the Alexandria database, functional PBE.

Unit cell a=8.9102 b=8.9102 c=5.9431 alpha=90.00 beta=90.00 gamma=120.00
Space group P6_3/mcm (No. 193)
One atom of each set of equivalent atoms:
Zn 0.0000 0.0000 0.0000 x2
Zn 0.0000 0.3800 0.2500 x6
In 0.0000 0.2856 0.7500 x6
In 0.3333 0.6667 0.0000 x4

Values from the calculation:
Energy of formation from the pure elements (eV/atom): 0.135
Total magnetization (μB/cell): 0.00